PbN2Cl GGA-PBE optimized geometry; crystal system = cubic; density = 6.19 g/cm³; symmetry = Fm-3m, No. 225; V = 72.6 Å³/cell; E_form (uncorrected) = 1.94 eV/atom
1.0
0.000 3.311 3.311
3.311 0.000 3.311
3.311 3.311 0.000
Pb N Cl
1 2 1
Cartesian
3.311 3.311 3.311 Pb
1.655 1.655 1.655 N
4.966 4.966 4.966 N
0.000 0.000 0.000 Cl

BaCd5Au2 GGA-PBE optimized geometry; crystal system = orthorhombic; formation energy from the elements = -2.74 eV/f.u.; density = 8.90 g/cm³; symmetry = Immm, No. 71; V = 203.9 Å³/cell
1.0
4.514 0.000 0.000
2.257 6.829 0.245
2.257 1.495 6.668
Au Cd Ba
2 5 1
Cartesian
2.257 1.992 1.654 Au
6.771 6.332 5.258 Au
4.514 3.905 1.241 Cd
4.514 1.938 3.610 Cd
4.514 6.387 3.302 Cd
4.514 4.419 5.671 Cd
2.257 4.162 3.456 Cd
0.000 0.000 0.000 Ba

Ce3Zr2ScP6 GGA-PBE optimized geometry; crystal system = monoclinic; formation energy from the elements = -17.72 eV/f.u.; density = 5.48 g/cm³; symmetry = C2/m, No. 12; V = 252.6 Å³/cell
1.0
6.760 -0.001 0.000
-3.380 5.855 0.000
-1.127 -1.952 6.384
P Zr Ce Sc
6 2 3 1
Cartesian
2.256 3.906 1.470 P
-0.002 -0.004 4.914 P
0.004 3.902 4.912 P
3.378 1.954 4.912 P
-1.124 1.948 1.473 P
2.249 0.000 1.473 P
0.000 3.903 0.000 Zr
3.381 1.950 0.000 Zr
-2.258 3.906 3.192 Ce
4.511 -0.004 3.192 Ce
1.127 1.951 3.192 Ce
0.000 0.000 0.000 Sc

GaCuSb2I GGA-PBE optimized geometry; crystal system = tetragonal; density = 5.40 g/cm³; symmetry = P4/mmm, No. 123; V = 154.8 Å³/cell; E_form (uncorrected) = 0.41 eV/atom
1.0
-0.792 3.993 2.911
-3.789 -2.383 2.239
3.918 -2.284 4.198
Sb Cu I Ga
2 1 1 1
Cartesian
-0.396 1.997 1.456 Sb
-1.894 -1.192 1.119 Sb
0.000 0.000 0.000 Cu
1.959 -1.142 2.099 I
-0.331 -0.337 4.674 Ga

Y4Sb2C GGA-PBE optimized geometry; crystal system = monoclinic; density = 5.33 g/cm³; symmetry = P2_1/m, No. 11; V = 381.0 Å³/cell; E_form (uncorrected) = -0.69 eV/atom
1.0
-2.688 -2.468 5.973
-0.270 -6.088 -2.637
8.597 -0.584 0.467
Y Sb C
8 4 2
Cartesian
7.473 -5.352 -0.951 Y
2.881 -4.155 5.116 Y
0.652 -7.451 0.433 Y
4.988 -1.689 3.369 Y
0.786 -4.421 1.746 Y
-1.833 -3.789 4.754 Y
4.853 -4.720 2.057 Y
2.758 -4.985 -1.314 Y
3.034 -2.341 0.912 Sb
2.606 -6.800 2.890 Sb
7.327 -2.751 1.420 Sb
-1.688 -6.389 2.383 Sb
4.886 -3.797 4.083 C
0.754 -5.344 -0.281 C

Pa4TcCS2 GGA-PBE optimized geometry; crystal system = monoclinic; density = 11.20 g/cm³; symmetry = P2/m, No. 10; V = 162.8 Å³/cell; E_form (uncorrected) = -0.87 eV/atom
1.0
-1.266 -3.504 0.243
4.628 -1.333 4.887
-2.898 1.448 5.783
Pa Tc S C
4 1 2 1
Cartesian
1.285 0.080 7.850 Pa
1.916 -2.320 5.221 Pa
-1.452 -1.070 5.692 Pa
-0.821 -3.470 3.063 Pa
-1.217 -0.971 8.348 Tc
-2.082 -1.028 3.013 S
-2.898 1.448 5.783 S
0.865 0.057 5.335 C